The following is a DFT calculation (PBE) of crystalline Ba6NiAg2 at its relaxed geometry.

Computed properties:
Its formation energy is -0.120 eV/atom. The volume comes out at 814.0 Å³/cell.

Cell: 7.860 8.892 13.961 Å, 90.00 123.46 90.00°
Space group P2_1/c (No. 14)
Unique sites:
Ba 0.105 0.036 0.246
Ba 0.225 0.691 0.065
Ba 0.387 0.168 0.063
Ni 0.000 0.000 0.000
Ag 0.305 0.115 0.749

---

The following is a DFT calculation (PBE) of crystalline Nd6SmEr8 at its relaxed geometry.

Computed properties:
Its formation energy is 0.125 eV/atom. The volume comes out at 1490.1 Å³/cell.

Cell: 9.0804 9.0804 20.8684 Å, 90.00 90.00 120.00°
Space group R-3 (No. 148, hexagonal axes)
Unique sites:
Nd 0.0627 0.8145 0.2106
Sm 0.0000 0.0000 0.5000
Er 0.0000 0.0000 0.0765
Er 0.0802 0.5238 0.3078

---

The following is a DFT calculation (PBE) of crystalline Dy2Tm6ZrSc3 at its relaxed geometry.

Computed properties:
Its formation energy is 0.060 eV/atom. The volume comes out at 673.4 Å³/cell.

Cell: 5.925 10.250 11.259 Å, 90.00 100.04 90.00°
Space group C2/m (No. 12)
Unique sites:
Dy 0.000 0.167 0.000
Tm 0.243 0.500 0.747
Tm 0.249 0.336 0.254
Zr 0.000 0.500 0.000
Sc 0.000 0.000 0.500
Sc 0.000 0.333 0.500

---

The following is a DFT calculation (PBE) of crystalline CuAgHPd2 at its relaxed geometry.

Computed properties:
Its energy above the most stable polymorph in this dataset is 37 meV per atom. The volume comes out at 64.2 Å³/cell.

Cell: 3.951 3.951 4.112 Å, 90.00 90.00 90.00°
Space group P4/mmm (No. 123)
Unique sites:
Cu 0.000 0.000 0.000
Ag 0.500 0.500 0.000
H 0.500 0.500 0.500
Pd 0.000 0.500 0.500

---

The following is a DFT calculation (PBE) of crystalline Ce2NiS at its relaxed geometry.

Computed properties:
The volume comes out at 280.5 Å³/cell. As for the raw total energy: -6.36 eV per atom.

Cell: 3.8633 3.8633 21.7005 Å, 90.00 90.00 120.00°
Space group R3m (No. 160, hexagonal axes)
Unique sites:
Ce 0.0000 0.0000 0.0000
Ce 0.0000 0.0000 0.1771
Ni 0.0000 0.0000 0.5902
S 0.0000 0.0000 0.4216

---

The following is a DFT calculation (PBE) of crystalline SrAgPb2S4 at its relaxed geometry.

Computed properties:
The volume comes out at 818.0 Å³/cell. As for the raw total energy: -4.27 eV per atom.

Cell: 4.171 13.763 14.251 Å, 90.00 90.00 90.00°
Space group Cmcm (No. 63)
Unique sites:
Sr 0.000 0.115 0.250
Ag 0.000 0.148 0.750
Pb 0.000 0.369 0.055
S 0.000 0.000 0.000
S 0.000 0.280 0.624
S 0.000 0.456 0.250

---

The following is a DFT calculation (PBE) of crystalline MgGaH2Ir at its relaxed geometry.

Computed properties:
The volume comes out at 67.5 Å³/cell. As for the raw total energy: -3.68 eV per atom.

Cell: 3.632 3.632 5.113 Å, 90.00 90.00 90.00°
Space group P4/mmm (No. 123)
Unique sites:
Mg 0.000 0.000 0.000
Ga 0.500 0.500 0.500
H 0.000 0.500 0.500
Ir 0.500 0.500 0.000

---

The following is a DFT calculation (PBE) of crystalline CrNi3Rh at its relaxed geometry.

Computed properties:
Its energy above the most stable polymorph in this dataset is 0 meV per atom. Its formation energy is 0.095 eV/atom. The volume comes out at 118.9 Å³/cell.

Cell: 4.529 4.588 6.779 Å, 90.22 106.06 117.25°
Space group P-1 (No. 2)
Unique sites:
Cr 0.239 0.210 0.127
Ni 0.092 0.499 0.846
Ni 0.209 0.974 0.423
Ni 0.270 0.506 0.533
Rh 0.420 0.137 0.820